A plane-wave DFT calculation with PBE-GGA was carried out for a geometry-optimized CeGeRh3 structure.

a b c (Å): 5.5122 7.6093 8.4064
angles (deg): 90.00 90.00 90.00
Space group Imma (No. 74)
Inequivalent atoms, fractional coordinates:
1 Ce 0.0000 0.2500 0.0062 x4
2 Ge 0.0000 0.0000 0.5000 x4
3 Rh 0.0000 0.2500 0.6917 x4
4 Rh 0.2500 0.0560 0.2500 x8

Calculated values
For the formation energy, the calculation gives -667 meV/atom. As for the total magnetic moment: 0.000 μB per cell. The calculation puts the volume at 17.6 A^3/atom.

***

A plane-wave DFT calculation with PBE-GGA was carried out for a geometry-optimized CeGe3Rh3 structure.

a b c (Å): 6.8665 6.8665 20.0974
angles (deg): 90.00 90.00 120.00
Space group R-3 (No. 148, hexagonal axes)
Inequivalent atoms, fractional coordinates:
1 Ce 0.0000 0.0000 0.1748 x6
2 Ge 0.0394 0.6219 0.2564 x18
3 Rh 0.0193 0.7432 0.7145 x18

Calculated values
For the formation energy, the calculation gives -497 meV/atom. As for the total magnetic moment: 0.825 μB per cell. The calculation puts the volume at 19.5 A^3/atom. Its polymorph energy (0 for the lowest one) is 0.0000 eV/atom.

***

A plane-wave DFT calculation with PBE-GGA was carried out for a geometry-optimized Ce12Ge6Rh structure.

a b c (Å): 11.5962 11.5962 12.2828
angles (deg): 90.00 90.00 120.00
Space group R-3 (No. 148, hexagonal axes)
Inequivalent atoms, fractional coordinates:
1 Ce 0.0551 0.2063 0.3571 x18
2 Ce 0.0550 0.8421 0.8734 x18
3 Ge 0.0024 0.5810 0.7578 x18
4 Rh 0.0000 0.0000 0.5000 x3

Calculated values
For the formation energy, the calculation gives -473 meV/atom. As for the total magnetic moment: 27.439 μB per cell. The calculation puts the volume at 25.1 A^3/atom.

***

A plane-wave DFT calculation with PBE-GGA was carried out for a geometry-optimized CeGe4Rh structure.

a b c (Å): 3.7939 5.9891 6.2985
angles (deg): 66.81 72.64 71.59
Space group P-1 (No. 2)
Inequivalent atoms, fractional coordinates:
1 Ce 0.0000 0.0000 0.0000 x1
2 Ge 0.1792 0.2047 0.4342 x2
3 Ge 0.3298 0.4153 0.9246 x2
4 Rh 0.5000 0.5000 0.5000 x1

Calculated values
For the formation energy, the calculation gives -251 meV/atom. As for the total magnetic moment: 0.814 μB per cell. The calculation puts the volume at 20.4 A^3/atom.

***

> Among the records above, which one has the highest total magnetic moment?

Ce12Ge6Rh

***

> Number 3 is which compound?

Ce12Ge6Rh

***

> total magnetic moment of number 1 (CeGeRh3)?

0.000 μB per cell